Model a:
## TaAl2W (PBEsol)

Data for an optimized crystal structure of TaAl2W.

V (Å³ per cell): 63

Lattice parameters (Å, degrees): 2.7505 4.1399 5.5146 90.00 90.00 90.00
Space group Pmmm (No. 47)
Unique sites:
Ta 0.0000 0.0000 0.0000 [1 per cell]
Al 0.5000 0.5000 0.2573 [2 per cell]
W 0.0000 0.0000 0.5000 [1 per cell]

---

Model b:
## TaAl2W (PBEsol)

Data for an optimized crystal structure of TaAl2W.

V (Å³ per cell): 63

Lattice parameters (Å, degrees): 2.7737 4.4933 5.0693 90.00 97.18 90.00
Space group Pm (No. 6)
Unique sites:
Ta 0.0000 0.0000 0.0000 [1 per cell]
Al 0.4025 0.5000 0.7752 [1 per cell]
Al 0.4445 0.0000 0.4960 [1 per cell]
W 0.8235 0.5000 0.2790 [1 per cell]

---

Short version: model a is the least stable of them.

---

Model a:
## Fe2CuHg (PBEsol)

Data for an optimized crystal structure of Fe2CuHg.

V (Å³ per cell): 168

Lattice parameters (Å, degrees): 2.8175 2.8175 24.4299 90.00 90.00 120.00
Space group R3m (No. 160, hexagonal axes)
Unique sites:
Fe 0.0000 0.0000 0.0000 [3 per cell]
Fe 0.0000 0.0000 0.2640 [3 per cell]
Cu 0.0000 0.0000 0.5192 [3 per cell]
Hg 0.0000 0.0000 0.7604 [3 per cell]

---

Model b:
## Fe2CuHg (PBEsol)

Data for an optimized crystal structure of Fe2CuHg.

V (Å³ per cell): 166

Lattice parameters (Å, degrees): 2.7151 2.7151 26.0759 90.00 90.00 120.00
Space group R-3m (No. 166, hexagonal axes)
Unique sites:
Fe 0.0000 0.0000 0.2430 [6 per cell]
Cu 0.0000 0.0000 0.5000 [3 per cell]
Hg 0.0000 0.0000 0.0000 [3 per cell]

---

Short version: model b is the least stable of them.

---

Model a:
## BaZrSb2 (PBEsol)

Data for an optimized crystal structure of BaZrSb2.

V (Å³ per cell): 375

Lattice parameters (Å, degrees): 4.2959 4.2959 23.4630 90.00 90.00 120.00
Space group R-3m (No. 166, hexagonal axes)
Unique sites:
Ba 0.0000 0.0000 0.0000 [3 per cell]
Zr 0.0000 0.0000 0.5000 [3 per cell]
Sb 0.0000 0.0000 0.2342 [6 per cell]

---

Model b:
## BaZrSb2 (PBEsol)

Data for an optimized crystal structure of BaZrSb2.

V (Å³ per cell): 228

Lattice parameters (Å, degrees): 5.6820 3.3595 11.9310 90.00 90.00 90.00
Space group Amm2 (No. 38)
Unique sites:
Ba 0.0000 0.0000 0.0000 [2 per cell]
Zr 0.5000 0.0000 0.2536 [2 per cell]
Sb 0.0000 0.0000 0.7372 [2 per cell]
Sb 0.5000 0.0000 0.5252 [2 per cell]

---

Short version: model b is the least stable of them.